First-principles (PBE) data for crystalline SmHoGa2Pt5 at its relaxed geometry, as listed in Alexandria via LeMat-Bulk.

Summary:
Space group: P4/mmm, No. 123
Energy relative to the elements in eV/atom: -0.924
Volume in Å³ per atom: 18.33
Magnetization in Bohr magnetons per cell: 0.00

abc: 4.199 4.199 9.358
angles: 90.00 90.00 90.00
Positions (direct):
Pt (0.500, 0.000, 0.272)
Pt (0.000, 0.500, 0.272)
Pt (0.500, 0.500, 0.500)
Pt (0.000, 0.500, 0.728)
Pt (0.500, 0.000, 0.728)
Ga (0.500, 0.500, 0.130)
Ga (0.500, 0.500, 0.870)
Sm (0.000, 0.000, 0.500)
Ho (0.000, 0.000, 0.000)

First-principles (PBE) data for crystalline Gd2ErHf at its relaxed geometry, as listed in Alexandria via LeMat-Bulk.

Summary:
Space group: P4/mmm, No. 123
ΔE to the lowest computed polymorph in meV/atom: 0
Energy relative to the elements in eV/atom: 0.118
Volume in Å³ per atom: 28.66
Magnetization in Bohr magnetons per cell: 14.33

abc: 3.416 3.416 9.823
angles: 90.00 90.00 90.00
Positions (direct):
Hf (0.500, 0.500, 0.500)
Er (0.500, 0.500, 0.000)
Gd (0.000, 0.000, 0.268)
Gd (0.000, 0.000, 0.732)

First-principles (PBE) data for crystalline PrMgGe2 at its relaxed geometry, as listed in Alexandria via LeMat-Bulk.

Summary:
Space group: Pnma, No. 62
ΔE to the lowest computed polymorph in meV/atom: 0
Energy relative to the elements in eV/atom: -0.538
Volume in Å³ per atom: 22.64
Magnetization in Bohr magnetons per cell: 0.00

abc: 4.012 8.210 10.998
angles: 90.00 90.00 90.00
Positions (direct):
Pr (0.250, 0.623, 0.644)
Pr (0.750, 0.377, 0.356)
Pr (0.250, 0.123, 0.856)
Pr (0.750, 0.877, 0.144)
Ge (0.250, 0.169, 0.191)
Ge (0.750, 0.252, 0.053)
Ge (0.250, 0.669, 0.309)
Ge (0.250, 0.248, 0.553)
Ge (0.750, 0.831, 0.809)
Ge (0.250, 0.748, 0.947)
Ge (0.750, 0.331, 0.691)
Ge (0.750, 0.752, 0.447)
Mg (0.250, 0.989, 0.394)
Mg (0.250, 0.489, 0.106)
Mg (0.750, 0.011, 0.606)
Mg (0.750, 0.511, 0.894)